Record 1
Computed, not measured: a relaxed structure of Nd6Er8Tl at the PBE level of DFT.

a = 9.4723 Å, b = 9.4723 Å, c = 6.3450 Å
α = 90.00°, β = 90.00°, γ = 120.00°
Space group P-3 (No. 147)
One atom of each set of equivalent atoms:
Nd1 0.0900 0.6380 0.3126 x6
Er1 0.0397 0.7773 0.8111 x6
Er2 0.3333 0.6667 0.8225 x2
Tl1 0.0000 0.0000 0.5000 x1

---

Record 2
Computed, not measured: a relaxed structure of Nd4ErTl7 at the PBE level of DFT.

a = 13.679 Å, b = 5.708 Å, c = 11.732 Å
α = 90.00°, β = 123.21°, γ = 90.00°
Space group C2/m (No. 12)
One atom of each set of equivalent atoms:
Nd1 0.088 0.000 0.282 x4
Nd2 0.227 0.000 0.831 x4
Er1 0.000 0.500 0.500 x2
Tl1 0.000 0.000 0.500 x2
Tl2 0.084 0.500 0.817 x4
Tl3 0.130 0.000 0.035 x4
Tl4 0.216 0.500 0.402 x4

---

Record 3
Computed, not measured: a relaxed structure of Nd3Er2Tl6 at the PBE level of DFT.

a = 4.843 Å, b = 4.843 Å, c = 29.083 Å
α = 90.00°, β = 90.00°, γ = 90.00°
Space group I4/mmm (No. 139)
One atom of each set of equivalent atoms:
Nd1 0.000 0.000 0.000 x2
Nd2 0.000 0.000 0.198 x4
Er1 0.000 0.000 0.446 x4
Tl1 0.000 0.000 0.307 x4
Tl2 0.000 0.500 0.116 x8

---

Record 4
Computed, not measured: a relaxed structure of Nd5Er4Tl at the PBE level of DFT.

a = 10.669 Å, b = 10.669 Å, c = 5.969 Å
α = 90.00°, β = 90.00°, γ = 90.00°
Space group I4mm (No. 107)
One atom of each set of equivalent atoms:
Nd1 0.000 0.000 0.000 x2
Nd2 0.188 0.188 0.716 x8
Er1 0.000 0.322 0.200 x8
Tl1 0.000 0.000 0.479 x2

---

Record 5
Computed, not measured: a relaxed structure of NdEr12Tl3 at the PBE level of DFT.

a = 4.832 Å, b = 4.832 Å, c = 19.762 Å
α = 90.00°, β = 90.00°, γ = 90.00°
Space group P4/mmm (No. 123)
One atom of each set of equivalent atoms:
Nd1 0.000 0.000 0.000 x1
Er1 0.000 0.500 0.132 x4
Er2 0.000 0.500 0.378 x4
Er3 0.500 0.500 0.000 x1
Er4 0.500 0.500 0.256 x2
Er5 0.500 0.500 0.500 x1
Tl1 0.000 0.000 0.257 x2
Tl2 0.000 0.000 0.500 x1

---

Record 6
Computed, not measured: a relaxed structure of Nd6Er2Tl at the PBE level of DFT.

a = 21.587 Å, b = 6.324 Å, c = 9.173 Å
α = 90.00°, β = 109.69°, γ = 90.00°
Space group C2/c (No. 15)
One atom of each set of equivalent atoms:
Nd1 0.053 0.180 0.135 x8
Nd2 0.112 0.353 0.529 x8
Nd3 0.163 0.165 0.915 x8
Er1 0.223 0.332 0.305 x8
Tl1 0.000 0.329 0.750 x4

---

Record 7
Computed, not measured: a relaxed structure of Nd5Er12Tl2 at the PBE level of DFT.

a = 15.415 Å, b = 9.347 Å, c = 8.328 Å
α = 90.00°, β = 92.16°, γ = 90.00°
Space group C2/m (No. 12)
One atom of each set of equivalent atoms:
Nd1 0.000 0.000 0.000 x2
Nd2 0.194 0.500 0.508 x4
Nd3 0.235 0.000 0.079 x4
Er1 0.053 0.500 0.823 x4
Er2 0.080 0.000 0.381 x4
Er3 0.126 0.307 0.164 x8
Er4 0.146 0.183 0.737 x8
Tl1 0.000 0.315 0.500 x4

---

Record 8
Computed, not measured: a relaxed structure of Nd6Er5Tl at the PBE level of DFT.

a = 5.066 Å, b = 9.944 Å, c = 15.300 Å
α = 90.00°, β = 90.00°, γ = 90.00°
Space group Immm (No. 71)
One atom of each set of equivalent atoms:
Nd1 0.000 0.246 0.000 x4
Nd2 0.000 0.254 0.333 x8
Er1 0.000 0.000 0.169 x4
Er2 0.000 0.000 0.500 x2
Er3 0.000 0.500 0.164 x4
Tl1 0.000 0.500 0.500 x2

---

What are the energy values for these records? In order: -4.420; -3.505; -3.533; -4.269; -4.277; -4.522; -4.370; -4.514 eV per atom.
What are the density of states at the Fermi level values for these records? In order: 18.4; 13.9; 17.1; 28.8; 19.6; 49.7; 53.7; 32.5 states/eV/cell.